Crystalline Sm2MgBeIr2 at its relaxed geometry. Source: Alexandria via LeMat-Bulk, functional PBE.

a = 5.885 Å, b = 7.546 Å, c = 7.403 Å
α = 120.64°, β = 113.42°, γ = 90.00°
Fractional positions:
Sm: 0.317 0.153 0.635
Sm: 0.817 0.482 0.635
Be: 0.250 0.500 0.000
Ir: 0.081 0.787 0.161
Mg: 0.750 0.000 0.000
Mg: 0.250 0.000 0.000
Ir: 0.581 0.374 0.161
Be: 0.750 0.500 0.000
Ir: 0.419 0.626 0.839
Ir: 0.919 0.213 0.839
Sm: 0.683 0.847 0.365
Sm: 0.183 0.518 0.365

Computed properties:
D(E_F): 6.94 states/eV/cell
Calculated volume: 20.91 Å³ per atom
Energy: -5.95 eV per atom
Calculated formation energy: -0.54 eV/atom



Crystalline Ac2RuBr at its relaxed geometry. Source: Alexandria via LeMat-Bulk, functional PBE.

a = 4.067 Å, b = 7.738 Å, c = 9.594 Å
α = 113.78°, β = 90.00°, γ = 90.00°
Fractional positions:
Ac: 0.250 0.367 0.212
Ac: 0.750 0.633 0.788
Ac: 0.750 0.155 0.788
Ru: 0.250 0.446 0.893
Br: 0.250 0.775 0.550
Ru: 0.750 0.554 0.107
Br: 0.750 0.225 0.450
Ac: 0.250 0.845 0.212

Computed properties:
Formation energy from raw total energies: -0.6446 eV/atom
D(E_F): 4.84 states/eV/cell
Calculated volume: 34.53 Å³ per atom
Energy: -5.44 eV per atom



Crystalline ScAlRe3 at its relaxed geometry. Source: Alexandria via LeMat-Bulk, functional PBE.

a = 4.504 Å, b = 4.504 Å, c = 4.504 Å
α = 90.00°, β = 90.00°, γ = 90.00°
Fractional positions:
Al: 0.000 0.000 0.000
Re: 0.500 0.000 0.000
Re: 0.000 0.000 0.500
Sc: 0.500 0.500 0.500
Re: 0.000 0.500 0.000

Computed properties:
D(E_F): 8.08 states/eV/cell
Calculated volume: 18.28 Å³ per atom
Energy: -8.22 eV per atom
Calculated formation energy: 1.27 eV/atom



Crystalline ErTi2Pt9 at its relaxed geometry. Source: Alexandria via LeMat-Bulk, functional PBE.

a = 3.999 Å, b = 3.999 Å, c = 12.005 Å
α = 90.00°, β = 90.00°, γ = 90.00°
Fractional positions:
Ti: 0.000 0.000 0.335
Pt: 0.500 0.500 0.661
Pt: 0.500 0.500 0.000
Pt: 0.000 0.500 0.821
Pt: 0.000 0.500 0.179
Er: 0.000 0.000 0.000
Ti: 0.000 0.000 0.665
Pt: 0.500 0.000 0.821
Pt: 0.500 0.500 0.339
Pt: 0.000 0.500 0.500
Pt: 0.500 0.000 0.500
Pt: 0.500 0.000 0.179

Computed properties:
D(E_F): 3.97 states/eV/cell
Calculated volume: 16.00 Å³ per atom
Energy: -7.18 eV per atom
Calculated formation energy: -0.95 eV/atom



Crystalline CdTc2Pt at its relaxed geometry. Source: Alexandria via LeMat-Bulk, functional PBE.

a = 4.289 Å, b = 2.766 Å, c = 6.179 Å
α = 63.43°, β = 90.00°, γ = 90.00°
Fractional positions:
Cd: 0.500 0.250 0.250
Tc: 0.000 0.462 0.537
Tc: 0.000 0.038 0.963
Pt: 0.500 0.750 0.750

Computed properties:
D(E_F): 3.72 states/eV/cell
Calculated volume: 16.39 Å³ per atom
Energy: -6.69 eV per atom
Calculated formation energy: 0.23 eV/atom



Crystalline Dy5HoRu3 at its relaxed geometry. Source: Alexandria via LeMat-Bulk, functional PBE.

a = 7.609 Å, b = 7.609 Å, c = 9.916 Å
α = 71.99°, β = 71.99°, γ = 72.72°
Fractional positions:
Dy: 0.434 0.434 0.367
Dy: 0.767 0.767 0.034
Dy: 0.301 0.699 0.000
Ru: 0.333 0.333 0.666
Ho: 0.100 0.100 0.701
Dy: 0.634 0.032 0.666
Dy: 0.233 0.233 0.966
Ho: 0.900 0.900 0.299
Dy: 0.032 0.634 0.666
Ru: 0.334 0.334 0.166
Dy: 0.566 0.566 0.633
Ru: 0.667 0.667 0.334
Dy: 0.968 0.366 0.334
Dy: 0.366 0.968 0.334
Dy: 0.699 0.301 0.000
Ru: 0.666 0.666 0.834
Ru: 0.000 0.000 0.000
Ru: 0.000 0.000 0.500

Computed properties:
D(E_F): 5.00 states/eV/cell
Calculated volume: 28.12 Å³ per atom
Energy: -6.38 eV per atom
Calculated formation energy: -0.22 eV/atom